3
Lattice="0.000 3.707 3.707 3.707 0.000 3.707 3.707 3.707 0.000" Properties=species:S:1:pos:R:3 comment="SrLaMo (PBE-GGA, optimized geometry)" de_polymorph_mev_per_atom=0 energy_ev_per_atom=-4.79 pbc="T T T"
Sr 5.560 5.560 5.560
La 1.853 1.853 1.853
Mo 0.000 0.000 0.000